1.
Computed, not measured: a relaxed structure of CsTl4Te4 at the PBE level of DFT.

abc: 6.4204 11.0746 11.0746
angles: 90.00 90.00 90.00
Atoms (fractional coordinates):
1 Cs 0.0000 0.0000 0.0000
2 Cs 0.5000 0.5000 0.5000
3 Tl 0.1005 0.8758 0.3842
4 Tl 0.1005 0.1242 0.6158
5 Tl 0.6005 0.1158 0.3758
6 Tl 0.3995 0.3758 0.8842
7 Tl 0.6005 0.8842 0.6242
8 Tl 0.8995 0.6158 0.8758
9 Tl 0.8995 0.3842 0.1242
10 Tl 0.3995 0.6242 0.1158
11 Te 0.9179 0.3157 0.8219
12 Te 0.0821 0.1781 0.3157
13 Te 0.9179 0.6843 0.1781
14 Te 0.5821 0.8157 0.3219
15 Te 0.5821 0.1843 0.6781
16 Te 0.0821 0.8219 0.6843
17 Te 0.4179 0.3219 0.1843
18 Te 0.4179 0.6781 0.8157

Values from the calculation:
**Energy**: -2.88 eV per atom
**SG**: P4_2/n, No. 86
**Volume**: 787 Å³/cell


2.
Computed, not measured: a relaxed structure of ZnCdSbI at the PBE level of DFT.

abc: 4.5508 4.5508 8.3398
angles: 90.04 105.79 120.00
Atoms (fractional coordinates):
1 Cd 0.2475 0.0072 0.2547
2 Sb 0.4780 0.1236 0.6016
3 I 0.4500 0.6084 0.0585
4 Zn 0.1536 0.4615 0.6151

Values from the calculation:
**Energy**: -2.18 eV per atom
**SG**: Cm, No. 8
**Volume**: 142 Å³/cell


3.
Computed, not measured: a relaxed structure of Ta2Nb4W at the PBE level of DFT.

abc: 2.8476 7.3644 7.1653
angles: 59.44 97.24 104.82
Atoms (fractional coordinates):
1 Nb 0.2818 0.7159 0.4255
2 Nb 0.7182 0.2841 0.5745
3 Nb 0.4422 0.5751 0.1402
4 Nb 0.5578 0.4249 0.8598
5 Ta 0.8525 0.1394 0.2837
6 Ta 0.1475 0.8606 0.7163
7 W 0.0000 0.0000 0.0000

Values from the calculation:
**Formation enthalpy at 0 K**: -2.6 kJ per mole of atoms
**Offset from the most stable computed form**: 0 meV per atom
**SG**: P-1, No. 2
**Volume**: 125 Å³/cell


> Which of these has the highest volume?

CsTl4Te4


> What is the volume in the third record?

125 Å³/cell


> Among the records above, which one has the lowest volume?

Ta2Nb4W


> Which value of volume does entry 3 give?

125 Å³/cell